<w>
Be3VP | PBE | optimized geometry

```
data_Be3VP
_space_group_name_H-M_alt 'P m -3 m'
_space_group_IT_number 221
_space_group_name_Hall '-P 4 2 3'
_cell_length_a 4.2308
_cell_length_b 4.2308
_cell_length_c 4.2308
_cell_angle_alpha 90.00
_cell_angle_beta 90.00
_cell_angle_gamma 90.00
loop_
_atom_site_label
_atom_site_type_symbol
_atom_site_fract_x
_atom_site_fract_y
_atom_site_fract_z
_atom_site_occupancy
Be1 Be 0.0000 0.0000 0.5000 1
V1 V 0.0000 0.0000 0.0000 1
P1 P 0.5000 0.5000 0.5000 1
```

Summary:
- Crystal system: cubic

<x>
Be3VP | PBE | optimized geometry

```
data_Be3VP
_space_group_name_H-M_alt 'P m -3 m'
_space_group_IT_number 221
_space_group_name_Hall '-P 4 2 3'
_cell_length_a 4.0474
_cell_length_b 4.0474
_cell_length_c 4.0474
_cell_angle_alpha 90.00
_cell_angle_beta 90.00
_cell_angle_gamma 90.00
loop_
_atom_site_label
_atom_site_type_symbol
_atom_site_fract_x
_atom_site_fract_y
_atom_site_fract_z
_atom_site_occupancy
Be1 Be 0.0000 0.0000 0.5000 1
V1 V 0.5000 0.5000 0.5000 1
P1 P 0.0000 0.0000 0.0000 1
```

Summary:
- Crystal system: cubic

Most stable one: <x>, least stable one: <w>.

<w>
BePW2 | PBE | optimized geometry

```
data_BePW2
_space_group_name_H-M_alt 'C m m 2'
_space_group_IT_number 35
_space_group_name_Hall 'C 2 -2'
_cell_length_a 3.2437
_cell_length_b 4.4185
_cell_length_c 8.4664
_cell_angle_alpha 90.00
_cell_angle_beta 90.00
_cell_angle_gamma 90.00
loop_
_atom_site_label
_atom_site_type_symbol
_atom_site_fract_x
_atom_site_fract_y
_atom_site_fract_z
_atom_site_occupancy
Be1 Be 0.0000 0.0000 0.0000 1
P1 P 0.0000 0.5000 0.3046 1
W1 W 0.0000 0.0000 0.5262 1
W2 W 0.0000 0.5000 0.7926 1
```

Summary:
- Crystal system: orthorhombic

<x>
BePW2 | PBE | optimized geometry

```
data_BePW2
_space_group_name_H-M_alt 'C 1 2/m 1'
_space_group_IT_number 12
_space_group_name_Hall '-C 2y'
_cell_length_a 5.5997
_cell_length_b 7.1422
_cell_length_c 2.8759
_cell_angle_alpha 90.00
_cell_angle_beta 109.62
_cell_angle_gamma 90.00
loop_
_atom_site_label
_atom_site_type_symbol
_atom_site_fract_x
_atom_site_fract_y
_atom_site_fract_z
_atom_site_occupancy
Be1 Be 0.0000 0.0000 0.0000 1
P1 P 0.0000 0.5000 0.0000 1
W1 W 0.2500 0.2500 0.5000 1
```

Summary:
- Crystal system: monoclinic

Most stable one: <x>, least stable one: <w>.

<w>
BePW2 | PBE | optimized geometry

```
data_BePW2
_space_group_name_H-M_alt 'I m m m'
_space_group_IT_number 71
_space_group_name_Hall '-I 2 2'
_cell_length_a 3.2167
_cell_length_b 4.5156
_cell_length_c 7.4509
_cell_angle_alpha 90.00
_cell_angle_beta 90.00
_cell_angle_gamma 90.00
loop_
_atom_site_label
_atom_site_type_symbol
_atom_site_fract_x
_atom_site_fract_y
_atom_site_fract_z
_atom_site_occupancy
Be1 Be 0.0000 0.0000 0.0000 1
P1 P 0.0000 0.0000 0.5000 1
W1 W 0.0000 0.5000 0.2459 1
```

Summary:
- Crystal system: orthorhombic

<x>
BePW2 | PBE | optimized geometry

```
data_BePW2
_space_group_name_H-M_alt 'P 4 m m'
_space_group_IT_number 99
_space_group_name_Hall 'P 4 -2'
_cell_length_a 3.1226
_cell_length_b 3.1226
_cell_length_c 5.4222
_cell_angle_alpha 90.00
_cell_angle_beta 90.00
_cell_angle_gamma 90.00
loop_
_atom_site_label
_atom_site_type_symbol
_atom_site_fract_x
_atom_site_fract_y
_atom_site_fract_z
_atom_site_occupancy
Be1 Be 0.0000 0.0000 0.0000 1
P1 P 0.5000 0.5000 0.2435 1
W1 W 0.0000 0.0000 0.4841 1
W2 W 0.5000 0.5000 0.7856 1
```

Summary:
- Crystal system: tetragonal

<y>
BePW2 | PBE | optimized geometry

```
data_BePW2
_space_group_name_H-M_alt 'A m m 2'
_space_group_IT_number 38
_space_group_name_Hall 'A 2 -2'
_cell_length_a 3.5196
_cell_length_b 3.2951
_cell_length_c 8.7577
_cell_angle_alpha 90.00
_cell_angle_beta 90.00
_cell_angle_gamma 90.00
loop_
_atom_site_label
_atom_site_type_symbol
_atom_site_fract_x
_atom_site_fract_y
_atom_site_fract_z
_atom_site_occupancy
Be1 Be 0.0000 0.0000 0.0000 1
P1 P 0.5000 0.0000 0.1491 1
W1 W 0.0000 0.0000 0.7229 1
W2 W 0.5000 0.0000 0.4338 1
```

Summary:
- Crystal system: orthorhombic

<z>
BePW2 | PBE | optimized geometry

```
data_BePW2
_space_group_name_H-M_alt 'C m m m'
_space_group_IT_number 65
_space_group_name_Hall '-C 2 2'
_cell_length_a 5.4087
_cell_length_b 6.1561
_cell_length_c 3.1453
_cell_angle_alpha 90.00
_cell_angle_beta 90.00
_cell_angle_gamma 90.00
loop_
_atom_site_label
_atom_site_type_symbol
_atom_site_fract_x
_atom_site_fract_y
_atom_site_fract_z
_atom_site_occupancy
Be1 Be 0.0000 0.0000 0.0000 1
P1 P 0.0000 0.5000 0.0000 1
W1 W 0.2500 0.2500 0.5000 1
```

Summary:
- Crystal system: orthorhombic

Most stable one: <y>, least stable one: <z>.

<w>
BeP3W | PBE | optimized geometry

```
data_BeP3W
_space_group_name_H-M_alt 'P m -3 m'
_space_group_IT_number 221
_space_group_name_Hall '-P 4 2 3'
_cell_length_a 4.1478
_cell_length_b 4.1478
_cell_length_c 4.1478
_cell_angle_alpha 90.00
_cell_angle_beta 90.00
_cell_angle_gamma 90.00
loop_
_atom_site_label
_atom_site_type_symbol
_atom_site_fract_x
_atom_site_fract_y
_atom_site_fract_z
_atom_site_occupancy
Be1 Be 0.0000 0.0000 0.0000 1
P1 P 0.0000 0.0000 0.5000 1
W1 W 0.5000 0.5000 0.5000 1
```

Summary:
- Crystal system: cubic

<x>
BeP3W | PBE | optimized geometry

```
data_BeP3W
_space_group_name_H-M_alt 'P m -3 m'
_space_group_IT_number 221
_space_group_name_Hall '-P 4 2 3'
_cell_length_a 4.6989
_cell_length_b 4.6989
_cell_length_c 4.6989
_cell_angle_alpha 90.00
_cell_angle_beta 90.00
_cell_angle_gamma 90.00
loop_
_atom_site_label
_atom_site_type_symbol
_atom_site_fract_x
_atom_site_fract_y
_atom_site_fract_z
_atom_site_occupancy
Be1 Be 0.0000 0.0000 0.0000 1
P1 P 0.0000 0.5000 0.5000 1
W1 W 0.5000 0.5000 0.5000 1
```

Summary:
- Crystal system: cubic

Most stable one: <x>, least stable one: <w>.

<w>
Y2BeP | PBE | optimized geometry

```
data_Y2BeP
_space_group_name_H-M_alt 'F m -3 m'
_space_group_IT_number 225
_space_group_name_Hall '-F 4 2 3'
_cell_length_a 6.8598
_cell_length_b 6.8598
_cell_length_c 6.8598
_cell_angle_alpha 90.00
_cell_angle_beta 90.00
_cell_angle_gamma 90.00
loop_
_atom_site_label
_atom_site_type_symbol
_atom_site_fract_x
_atom_site_fract_y
_atom_site_fract_z
_atom_site_occupancy
Y1 Y 0.2500 0.2500 0.2500 1
Be1 Be 0.0000 0.0000 0.0000 1
P1 P 0.0000 0.0000 0.5000 1
```

Summary:
- Crystal system: cubic

<x>
Y2BeP | PBE | optimized geometry

```
data_Y2BeP
_space_group_name_H-M_alt 'R -3 m'
_space_group_IT_number 166
_space_group_name_Hall '-R 3 2"'
_cell_length_a 3.9381
_cell_length_b 3.9381
_cell_length_c 20.4953
_cell_angle_alpha 90.00
_cell_angle_beta 90.00
_cell_angle_gamma 120.00
loop_
_atom_site_label
_atom_site_type_symbol
_atom_site_fract_x
_atom_site_fract_y
_atom_site_fract_z
_atom_site_occupancy
Y1 Y 0.0000 0.0000 0.2442 1
Be1 Be 0.0000 0.0000 0.0000 1
P1 P 0.0000 0.0000 0.5000 1
```

Summary:
- Crystal system: trigonal

<y>
Y2BeP | PBE | optimized geometry

```
data_Y2BeP
_space_group_name_H-M_alt 'P 4/m m m'
_space_group_IT_number 123
_space_group_name_Hall '-P 4 2'
_cell_length_a 3.5394
_cell_length_b 3.5394
_cell_length_c 6.4528
_cell_angle_alpha 90.00
_cell_angle_beta 90.00
_cell_angle_gamma 90.00
loop_
_atom_site_label
_atom_site_type_symbol
_atom_site_fract_x
_atom_site_fract_y
_atom_site_fract_z
_atom_site_occupancy
Y1 Y 0.0000 0.0000 0.2436 1
Be1 Be 0.5000 0.5000 0.5000 1
P1 P 0.5000 0.5000 0.0000 1
```

Summary:
- Crystal system: tetragonal

Most stable one: <x>, least stable one: <w>.

<w>
YBeP3 | PBE | optimized geometry

```
data_YBeP3
_space_group_name_H-M_alt 'P m -3 m'
_space_group_IT_number 221
_space_group_name_Hall '-P 4 2 3'
_cell_length_a 5.2163
_cell_length_b 5.2163
_cell_length_c 5.2163
_cell_angle_alpha 90.00
_cell_angle_beta 90.00
_cell_angle_gamma 90.00
loop_
_atom_site_label
_atom_site_type_symbol
_atom_site_fract_x
_atom_site_fract_y
_atom_site_fract_z
_atom_site_occupancy
Y1 Y 0.0000 0.0000 0.0000 1
Be1 Be 0.5000 0.5000 0.5000 1
P1 P 0.0000 0.0000 0.5000 1
```

Summary:
- Crystal system: cubic

<x>
YBeP3 | PBE | optimized geometry

```
data_YBeP3
_space_group_name_H-M_alt 'P m -3 m'
_space_group_IT_number 221
_space_group_name_Hall '-P 4 2 3'
_cell_length_a 4.3975
_cell_length_b 4.3975
_cell_length_c 4.3975
_cell_angle_alpha 90.00
_cell_angle_beta 90.00
_cell_angle_gamma 90.00
loop_
_atom_site_label
_atom_site_type_symbol
_atom_site_fract_x
_atom_site_fract_y
_atom_site_fract_z
_atom_site_occupancy
Y1 Y 0.0000 0.0000 0.0000 1
Be1 Be 0.5000 0.5000 0.5000 1
P1 P 0.0000 0.5000 0.5000 1
```

Summary:
- Crystal system: cubic

Most stable one: <x>, least stable one: <w>.